(1)
Crystalline CaTlS2 at its relaxed geometry, computed with PBE.

a = 6.245 Å, b = 6.245 Å, c = 13.356 Å
α = 90.00°, β = 90.00°, γ = 90.00°
Space group I-42d (No. 122)
One atom of each set of equivalent atoms:
Ca  0.000  0.000  0.000 (multiplicity 4)
Tl  0.000  0.000  0.500 (multiplicity 4)
S  0.244  0.250  0.125 (multiplicity 8)

Summary:
Formation energy from raw total energies: -961 meV/atom
N(E_F): 0.4593 states/eV per atom

---

(2)
Crystalline CaTl2S8 at its relaxed geometry, computed with PBE.

a = 5.229 Å, b = 6.763 Å, c = 9.827 Å
α = 84.99°, β = 82.59°, γ = 76.95°
Space group P-1 (No. 2)
One atom of each set of equivalent atoms:
Ca  0.000  0.000  0.000 (multiplicity 1)
Tl  0.414  0.890  0.350 (multiplicity 2)
S  0.092  0.575  0.737 (multiplicity 2)
S  0.125  0.876  0.723 (multiplicity 2)
S  0.135  0.469  0.402 (multiplicity 2)
S  0.462  0.152  0.958 (multiplicity 2)

Summary:
Formation energy from raw total energies: -393 meV/atom

---

(3)
Crystalline CaTlS14 at its relaxed geometry, computed with PBE.

a = 11.189 Å, b = 14.080 Å, c = 12.193 Å
α = 90.00°, β = 90.00°, γ = 90.00°
Space group Imma (No. 74)
One atom of each set of equivalent atoms:
Ca  0.250  0.250  0.250 (multiplicity 4)
Tl  0.000  0.250  0.652 (multiplicity 4)
S  0.000  0.138  0.164 (multiplicity 8)
S  0.000  0.150  0.327 (multiplicity 8)
S  0.000  0.180  0.892 (multiplicity 8)
S  0.151  0.115  0.402 (multiplicity 16)
S  0.240  0.152  0.672 (multiplicity 16)

Summary:
Formation energy from raw total energies: 7 meV/atom
N(E_F): 0.1465 states/eV per atom

---

(4)
Crystalline Ca3TlS at its relaxed geometry, computed with PBE.

a = 5.383 Å, b = 5.383 Å, c = 5.383 Å
α = 90.00°, β = 90.00°, γ = 90.00°
Space group Pm-3m (No. 221)
One atom of each set of equivalent atoms:
Ca  0.000  0.000  0.500 (multiplicity 3)
Tl  0.500  0.500  0.500 (multiplicity 1)
S  0.000  0.000  0.000 (multiplicity 1)

Summary:
Formation energy from raw total energies: -923 meV/atom
N(E_F): 1.0245 states/eV per atom
Offset from the most stable computed form: 0.00 eV per formula unit

---

> formation energy from raw total energies of number 2 (CaTl2S8)?

-393 meV/atom

---

> What is the formula in the fourth record?

Ca3TlS